1.
A plane-wave DFT calculation with PBE was carried out for Cs2SeCl after structural relaxation.

Cell lengths 8.6652, 8.6652, 8.6652 Å; angles 90.00, 90.00, 90.00 degrees
Closest atoms and distances in Å follow each position.
Positions (direct):
1 Cs 0.2500 0.2500 0.2500  4 Cl 3.75, 4 Se 3.75
2 Cs 0.2500 0.2500 0.7500  4 Cl 3.75, 4 Se 3.75
3 Cs 0.2500 0.7500 0.2500  4 Cl 3.75, 4 Se 3.75
4 Cs 0.2500 0.7500 0.7500  4 Cl 3.75, 4 Se 3.75
5 Cs 0.7500 0.2500 0.2500  4 Cl 3.75, 4 Se 3.75
6 Cs 0.7500 0.2500 0.7500  4 Cl 3.75, 4 Se 3.75
7 Cs 0.7500 0.7500 0.2500  4 Cl 3.75, 4 Se 3.75
8 Cs 0.7500 0.7500 0.7500  4 Cl 3.75, 4 Se 3.75
9 Se 0.0000 0.0000 0.0000  8 Cs 3.75
10 Se 0.0000 0.5000 0.5000  8 Cs 3.75
11 Se 0.5000 0.0000 0.5000  8 Cs 3.75
12 Se 0.5000 0.5000 0.0000  8 Cs 3.75
13 Cl 0.0000 0.0000 0.5000  8 Cs 3.75
14 Cl 0.0000 0.5000 0.0000  8 Cs 3.75
15 Cl 0.5000 0.0000 0.0000  8 Cs 3.75
16 Cl 0.5000 0.5000 0.5000  8 Cs 3.75

Output
relative energy among the computed polymorphs	266.7	meV per atom
formation energy from raw total energies	-1.152	eV per atom

---

2.
A plane-wave DFT calculation with PBE was carried out for ScTlTe2 after structural relaxation.

Cell lengths 3.7115, 3.7153, 8.4057 Å; angles 90.00, 90.93, 90.00 degrees
Closest atoms and distances in Å follow each position.
Positions (direct):
1 Sc 0.0000 0.0000 0.0000  8 Te 3.10-3.16
2 Tl 0.0000 0.0000 0.5000  8 Te 3.62-3.63, 4 Tl 3.71-3.72
3 Te 0.4927 0.5000 0.2023  4 Sc 3.10-3.16, 1 Te 3.40
4 Te 0.5073 0.5000 0.7977  4 Sc 3.10-3.16, 1 Te 3.40

Output
formation energy from raw total energies	-0.695	eV per atom